4
Lattice="2.8176 0.0000 0.0000 0.0000 2.8176 0.0000 0.0000 0.0000 8.7537" Properties=species:S:1:pos:R:3 comment="Mg2AlRe (PBEsol, optimized geometry)" m_tot_mub_per_atom=0.00 final_energy_ev_per_atom=-5.0036 delta_e_f_mev_per_atom=210.8 pbc="T T T"
Al 1.4088 1.4088 6.3151
Mg 0.0000 0.0000 8.6097
Mg 1.4088 1.4088 2.4452
Re 0.0000 0.0000 4.5141

3
Lattice="4.3175 0.0000 0.0000 2.1587 3.7391 0.0000 2.1587 1.2464 3.5252" Properties=species:S:1:pos:R:3 comment="MgAlRe (PBEsol, optimized geometry)" m_tot_mub_per_atom=0.35 final_energy_ev_per_atom=-5.5632 e_above_lowest_polymorph_mev_per_atom=689 delta_e_f_mev_per_atom=817.1 pbc="T T T"
Re 2.1587 1.2464 0.8813
Mg 4.3175 2.4927 1.7626
Al 0.0000 0.0000 0.0000

5
Lattice="-1.1061 2.6260 3.6444 -3.8697 1.3488 -2.1463 -2.3396 -3.6534 1.9224" Properties=species:S:1:pos:R:3 comment="MgAlRe2Sb (PBEsol, optimized geometry)" m_tot_mub_per_atom=0.23 final_energy_ev_per_atom=-5.1532 e_form_raw_mev_per_atom=2253 pbc="T T T"
Re -1.9349 0.6744 -1.0732
Re -0.5530 1.3130 1.8222
Mg 0.0000 0.0000 0.0000
Al -3.6577 0.1607 1.7102
Sb -1.1698 -1.8267 0.9612

4
Lattice="2.8710 0.0000 0.0000 1.4355 2.4864 0.0000 1.4355 0.8288 8.1233" Properties=species:S:1:pos:R:3 comment="MgAlRh2 (PBEsol, optimized geometry)" m_tot_mub_per_atom=0.00 final_energy_ev_per_atom=-6.0165 delta_e_f_mev_per_atom=-495.1 pbc="T T T"
Al 2.8710 1.6576 4.0616
Mg 0.0000 0.0000 0.0000
Rh 1.4355 0.8288 2.1684
Rh 4.3065 2.4864 5.9549

10
Lattice="4.1049 0.0000 0.0000 0.0000 6.2937 0.0000 0.0000 0.0000 6.2937" Properties=species:S:1:pos:R:3 comment="Mg2AlRh2 (PBEsol, optimized geometry)" m_tot_mub_per_atom=0.00 final_energy_ev_per_atom=-5.3335 delta_e_f_mev_per_atom=-573.0 pbc="T T T"
Mg 2.0524 1.0281 4.1750
Mg 2.0524 4.1750 5.2655
Mg 2.0524 5.2655 2.1187
Mg 2.0524 2.1187 1.0281
Rh 0.0000 2.2410 5.3878
Rh 0.0000 5.3878 4.0527
Rh 0.0000 4.0527 0.9059
Rh 0.0000 0.9059 2.2410
Al 0.0000 0.0000 0.0000
Al 0.0000 3.1468 3.1468

3
Lattice="2.9297 0.0000 0.0000 -1.4649 2.5372 0.0000 0.0000 0.0000 6.4718" Properties=species:S:1:pos:R:3 comment="MgAlRh (PBEsol, optimized geometry)" m_tot_mub_per_atom=0.00 final_energy_ev_per_atom=-4.9648 delta_e_f_mev_per_atom=-315.8 pbc="T T T"
Al 0.0000 0.0000 0.2326
Mg 0.0000 1.6915 4.1727
Rh 1.4649 0.8457 2.0664

4
Lattice="-2.0139 -3.7551 0.1670 0.2809 -2.4162 3.5025 -3.3963 -0.4872 2.5322" Properties=species:S:1:pos:R:3 comment="MgAlRh2 (PBEsol, optimized geometry)" m_tot_mub_per_atom=0.00 final_energy_ev_per_atom=-6.3265 delta_e_f_mev_per_atom=-805.1 pbc="T T T"
Mg -2.5646 -3.3292 3.1008
Rh -1.2823 -1.6646 1.5504
Rh -3.8470 -4.9939 4.6513
Al 0.0000 0.0000 0.0000

29
Lattice="8.9124 0.0165 0.0000 -2.9282 8.5014 0.0000 -2.9921 -4.2590 7.3714" Properties=species:S:1:pos:R:3 comment="Mg17Al11Rh (PBEsol, optimized geometry)" m_tot_mub_per_atom=0.00 final_energy_ev_per_atom=-2.9180 delta_e_f_mev_per_atom=-78.9 pbc="T T T"
Mg 4.8339 3.2970 0.0000
Mg 5.7534 0.0475 0.0000
Mg 1.5095 5.8198 0.0000
Mg 6.9646 5.5301 0.0000
Mg 0.0619 0.0229 0.0000
Mg 2.7354 3.8697 2.0451
Mg 4.4227 1.3737 2.2804
Mg -0.2194 4.7719 2.3282
Mg 1.0971 1.4614 2.4679
Mg 5.7083 4.1253 2.9296
Mg 4.9128 -1.6928 2.9504
Mg -1.0075 2.5496 4.4210
Mg 2.7162 -0.1336 4.4418
Mg -1.8950 -2.7976 4.9035
Mg -3.2115 0.5129 5.0432
Mg 1.4306 -2.8853 5.0910
Mg -0.2567 -0.3892 5.3263
Al 0.7283 3.0464 0.0000
Al 4.3146 6.1770 1.3254
Al 2.7210 -0.6993 1.3350
Al -1.5957 2.3562 1.3532
Al -1.6372 0.0336 2.6891
Al -2.3503 6.9323 2.6932
Al 3.5700 2.6899 4.6782
Al 1.3549 4.2926 4.6823
Al 4.3246 -1.8862 6.0182
Al -3.1994 3.5431 6.0364
Al 1.3225 1.9181 6.0460
Rh 2.7034 1.4992 0.0000

4
Lattice="2.8380 0.0000 0.0000 -1.4190 4.2239 0.0193 0.0000 -1.0675 4.8216" Properties=species:S:1:pos:R:3 comment="MgAlRu2 (PBEsol, optimized geometry)" m_tot_mub_per_atom=0.00 final_energy_ev_per_atom=-6.5854 delta_e_f_mev_per_atom=-47.0 pbc="T T T"
Al 0.0000 -0.5338 2.4108
Mg 1.4190 0.0000 0.0000
Ru 1.4190 1.2420 3.5185
Ru 0.0000 1.9143 1.3224

7
Lattice="-0.4265 3.5057 1.0238 -1.5087 0.7933 3.2579 10.5804 1.2689 6.6655" Properties=species:S:1:pos:R:3 comment="MgAl2S4 (PBEsol, optimized geometry)" m_tot_mub_per_atom=0.00 final_energy_ev_per_atom=-5.0878 e_form_raw_mev_per_atom=-1168 pbc="T T T"
Mg 0.0000 0.0000 0.0000
S 6.4974 1.3286 4.7602
S 2.1479 4.2393 6.1870
S 0.5978 1.4148 2.0072
S 8.0474 4.1531 8.9400
Al 2.5562 1.3862 2.9211
Al 6.0890 4.1817 8.0261

28
Lattice="5.9131 0.0000 0.0000 0.0000 7.1870 0.0000 0.0000 0.0000 12.4894" Properties=species:S:1:pos:R:3 comment="MgAl2S4 (PBEsol, optimized geometry)" m_tot_mub_per_atom=0.00 final_energy_ev_per_atom=-5.1440 e_form_raw_mev_per_atom=-1224 pbc="T T T"
Mg 5.9085 1.7967 3.3122
Mg 2.9520 5.3902 2.9325
Mg 0.0046 5.3902 9.1771
Mg 2.9611 1.7967 9.5569
Al 2.4229 1.7967 1.0590
Al 5.3795 5.3902 5.1856
Al 3.4901 5.3902 11.4303
Al 0.5336 1.7967 7.3037
Al 0.0000 0.0000 0.0000
Al 2.9565 0.0000 6.2447
Al 0.0000 3.5935 0.0000
Al 2.9565 3.5935 6.2447
S 4.6591 1.7967 1.0545
S 1.7025 5.3902 5.1902
S 1.2540 5.3902 11.4349
S 4.2105 1.7967 7.2992
S 1.6096 1.7967 5.3076
S 4.5661 5.3902 0.9371
S 4.3035 5.3902 7.1818
S 1.3470 1.7967 11.5523
S 1.4078 0.0229 1.9808
S 4.3643 7.1640 4.2639
S 4.5052 3.6164 10.5086
S 1.5487 3.5706 8.2255
S 4.5052 7.1640 10.5086
S 1.5487 0.0229 8.2255
S 1.4078 3.5706 1.9808
S 4.3643 3.6164 4.2639

14
Lattice="-1.8533 0.2557 -6.9320 3.0419 -4.4980 -4.6976 -3.8557 -5.3262 -2.8840" Properties=species:S:1:pos:R:3 comment="MgAl2S4 (PBEsol, optimized geometry)" m_tot_mub_per_atom=0.00 final_energy_ev_per_atom=-5.1386 e_form_raw_mev_per_atom=-1219 pbc="T T T"
Mg -2.0004 -7.1764 -10.8853
Mg -1.3336 -4.7842 -7.2568
Al -2.2613 -3.8592 -3.2562
Al 1.1876 -3.4450 -4.1630
Al -0.3334 -1.1961 -1.8142
Al -1.2601 -1.0682 -5.2802
S -0.2527 -5.5684 -11.2932
S 0.6989 -5.9383 -7.8428
S -1.9838 -3.3332 -9.0673
S -0.9682 -3.4733 -5.2684
S -1.3501 -8.6274 -9.0748
S -2.3658 -8.4873 -12.8737
S -3.0812 -6.3922 -6.8489
S -4.0328 -6.0223 -10.2993

14
Lattice="7.0704 0.0000 0.0000 3.5352 6.3471 0.0700 3.5352 2.1724 5.9641" Properties=species:S:1:pos:R:3 comment="MgTiAlS4 (PBEsol, optimized geometry)" m_tot_mub_per_atom=0.14 final_energy_ev_per_atom=-5.7895 e_form_raw_mev_per_atom=-1266 pbc="T T T"
Mg 7.0704 4.2303 0.7835
Mg 7.0704 4.2892 5.2507
Ti 5.3028 1.0862 2.9821
Ti 1.7676 1.0862 2.9821
Al 0.0000 0.0000 0.0000
Al 3.5352 4.2597 3.0171
S 10.6056 6.2938 4.3377
S 8.9894 3.0945 4.4045
S 5.1514 3.0945 4.4045
S 7.0704 6.5985 4.5535
S 8.9894 5.4250 1.6296
S 7.0704 1.9209 1.4806
S 3.5352 2.2256 1.6964
S 5.1514 5.4250 1.6296

14
Lattice="-4.4587 -5.1575 -2.3062 0.1599 -2.0798 -6.8882 2.6154 -6.5071 -1.7344" Properties=species:S:1:pos:R:3 comment="Mg2TiAl3S8 (PBEsol, optimized geometry)" m_tot_mub_per_atom=0.07 final_energy_ev_per_atom=-5.4511 e_form_raw_mev_per_atom=-1229 pbc="T T T"
Mg 0.6847 -8.4161 -4.9628
Mg -2.3680 -5.3284 -5.9660
Ti 0.0000 0.0000 0.0000
Al -0.9216 -5.8323 -2.0203
Al 1.3877 -4.2935 -4.3113
Al 1.3077 -3.2536 -0.8672
S -1.5407 -9.3192 -4.7418
S -2.6519 -6.0973 -3.6977
S -1.4133 -10.1558 -8.2461
S -2.5650 -7.2272 -7.4400
S -0.2700 -3.5887 -2.6826
S 0.8817 -6.5172 -3.4888
S -0.1426 -4.4252 -6.1870
S 0.9686 -7.6472 -7.2311

14
Lattice="-0.7718 1.3169 -6.9258 -4.4880 -3.8944 -3.8714 -6.2412 3.0726 -2.3513" Properties=species:S:1:pos:R:3 comment="Mg2Ti3AlS8 (PBEsol, optimized geometry)" m_tot_mub_per_atom=0.07 final_energy_ev_per_atom=-6.1426 e_form_raw_mev_per_atom=-1316 pbc="T T T"
Mg -6.9831 -1.0678 -10.3181
Mg -4.5180 1.5629 -2.8304
Ti -2.2440 -1.9472 -1.9357
Ti -2.6299 -1.2887 -5.3986
Ti -0.3859 0.6584 -3.4629
Al -5.7505 0.2475 -6.5743
S -8.7560 0.4854 -9.8252
S -6.4499 2.2385 -7.7662
S -8.1370 -0.1273 -6.3796
S -6.0995 1.6406 -4.6220
S -3.3641 0.6224 -6.7689
S -5.4015 -1.1455 -8.5265
S -2.7450 0.0097 -3.3233
S -5.0511 -1.7434 -5.3823

10
Lattice="3.3897 0.0000 0.0000 0.0000 8.3344 0.0000 0.0000 0.0000 8.3344" Properties=species:S:1:pos:R:3 comment="Mg2AlSb2 (PBEsol, optimized geometry)" m_tot_mub_per_atom=0.00 final_energy_ev_per_atom=-3.3747 e_form_raw_mev_per_atom=-47 pbc="T T T"
Sb 0.0000 2.7734 6.9406
Sb 0.0000 6.9406 5.5610
Sb 0.0000 5.5610 1.3938
Sb 0.0000 1.3938 2.7734
Mg 1.6948 1.1124 5.2796
Mg 1.6948 5.2796 7.2220
Mg 1.6948 7.2220 3.0548
Mg 1.6948 3.0548 1.1124
Al 0.0000 0.0000 0.0000
Al 0.0000 4.1672 4.1672

29
Lattice="-4.4031 6.7518 3.6895 -2.3754 -0.6421 -8.7599 -8.9358 -1.5693 -0.6922" Properties=species:S:1:pos:R:3 comment="Mg16ScAl12 (PBEsol, optimized geometry)" m_tot_mub_per_atom=0.00 final_energy_ev_per_atom=-2.9192 e_above_lowest_polymorph_mev_per_atom=6 delta_e_f_mev_per_atom=-51.0 pbc="T T T"
Mg -8.6852 3.0165 1.7599
Mg -0.0142 0.0218 0.0119
Mg -4.9882 1.4980 0.8852
Mg -10.2748 5.7006 3.2239
Mg -8.8289 1.2613 -5.1567
Mg -10.9793 3.0922 -3.9735
Mg -5.7350 0.9339 -5.1082
Mg -7.5037 3.4686 -3.5847
Mg -7.5821 -1.4653 -5.7790
Mg -2.8078 1.7466 -4.0677
Mg -9.4560 3.6537 -1.2916
Mg -5.2927 1.9527 -2.2017
Mg -5.2028 6.5145 0.6873
Mg -3.4306 3.8661 -0.6241
Mg -4.2690 -0.8176 -3.0105
Mg -6.5174 3.9645 -0.2449
Sc -1.6304 2.5001 1.3662
Al -6.8216 4.9030 2.7394
Al -4.3908 3.9310 2.1784
Al -10.0825 -0.5391 -7.0636
Al -5.1974 -1.0550 -7.3896
Al -4.6910 3.6947 -4.8473
Al -3.1731 -0.6592 -5.6981
Al -5.0809 5.0657 -2.5809
Al -7.3176 -0.0527 -2.9836
Al -9.8124 0.9583 -2.3816
Al -11.2914 4.0585 0.8100
Al -2.8618 0.8726 -1.0297
Al -7.7461 1.3623 -0.6549

4
Lattice="-1.6610 1.3161 -2.2625 -3.8013 -0.6104 2.4355 1.6010 4.6232 3.6575" Properties=species:S:1:pos:R:3 comment="Mg2ScAl (PBEsol, optimized geometry)" m_tot_mub_per_atom=0.00 final_energy_ev_per_atom=-3.6589 delta_e_f_mev_per_atom=-126.2 pbc="T T T"
Al -0.8224 3.1231 3.7600
Mg -0.3060 0.2864 -0.4058
Mg -2.8649 1.8134 0.2438
Sc 0.1019 3.0757 0.9300

29
Lattice="8.9484 0.0096 0.0166 -2.9872 8.5847 -0.0020 -2.9872 -4.2781 7.4428" Properties=species:S:1:pos:R:3 comment="Mg16ScAl12 (PBEsol, optimized geometry)" m_tot_mub_per_atom=0.00 final_energy_ev_per_atom=-2.9073 e_above_lowest_polymorph_mev_per_atom=18 delta_e_f_mev_per_atom=-39.1 pbc="T T T"
Mg -1.0779 2.5800 4.4576
Mg -0.1438 4.2915 7.4146
Mg 1.0754 1.4955 2.5838
Mg -5.9583 4.3039 7.4362
Mg 5.6926 0.4761 5.1207
Mg 2.7502 -0.1203 4.4745
Mg -1.4789 1.5769 7.4471
Mg -1.9259 5.6658 0.0199
Mg -0.2439 -0.3306 5.3036
Mg 1.9461 6.8614 3.0014
Mg 1.9461 -0.8154 7.4446
Mg -0.2439 4.7635 2.3552
Mg -1.9259 -2.8051 4.9227
Mg -1.4789 5.6719 5.0770
Mg 2.7502 3.9398 2.1246
Mg 5.6926 4.2030 2.9637
Sc 4.5788 1.3666 2.3612
Al 3.5453 2.7106 4.6832
Al -3.2605 3.5162 6.0752
Al 7.2717 0.0418 2.7448
Al 2.7601 -0.7631 1.4121
Al 1.3190 1.9516 6.1104
Al 4.2964 6.2433 1.3389
Al 0.5375 -1.5624 2.7246
Al 0.5375 3.1407 0.0025
Al 4.2964 -1.9491 6.0805
Al 1.3190 4.3261 4.7361
Al 2.7601 1.6046 0.0418
Al 7.2717 2.3592 1.4035

4
Lattice="-1.4205 -1.1079 -3.9083 -1.6577 -3.6219 1.6292 -2.3113 4.4862 1.9377" Properties=species:S:1:pos:R:3 comment="Mg2ScAl (PBEsol, optimized geometry)" m_tot_mub_per_atom=0.00 final_energy_ev_per_atom=-3.6036 delta_e_f_mev_per_atom=-70.8 pbc="T T T"
Al 0.0000 0.0000 0.0000
Mg -2.6355 0.5067 -1.5551
Mg -2.7540 -0.7503 1.2137
Sc -1.5391 -2.3649 -1.1395

4
Lattice="3.3685 0.0000 0.0000 0.0000 4.8347 0.0000 -1.6843 -2.4173 5.1196" Properties=species:S:1:pos:R:3 comment="Mg2ScAl (PBEsol, optimized geometry)" m_tot_mub_per_atom=0.00 final_energy_ev_per_atom=-3.6211 delta_e_f_mev_per_atom=-88.4 pbc="T T T"
Al 0.0000 2.4173 0.0000
Mg 1.6843 2.4173 2.4140
Mg 0.0000 0.0000 2.7056
Sc 1.6843 0.0000 0.0000